No. 1
VASP calculation (GGA-PBE) on a relaxed structure of Pr8Ir3PbI4.

Lattice parameters (Å, degrees): 8.7209 8.7209 24.3319 90.00 90.00 120.00
Space group R-3m (No. 166, hexagonal axes)
Inequivalent atoms, fractional coordinates:
Pr  0.0000  0.0000  0.2292 x6
Pr  0.0265  0.5133  0.7698 x18
Ir  0.0000  0.5000  0.5000 x9
Pb  0.0000  0.0000  0.5000 x3
I  0.0000  0.0000  0.0000 x3
I  0.0000  0.5000  0.0000 x9

Properties
Energy relative to the elements, uncorrected: -868 meV per atom
Volume: 1602.7 Å³/cell


No. 2
VASP calculation (GGA-PBE) on a relaxed structure of RbIrPb2I.

Lattice parameters (Å, degrees): 5.225 5.225 6.904 90.00 90.00 90.00
Space group P4/mmm (No. 123)
Inequivalent atoms, fractional coordinates:
Rb  0.000  0.000  0.000 x1
Ir  0.000  0.000  0.500 x1
Pb  0.000  0.500  0.500 x2
I  0.500  0.500  0.000 x1

Properties
Energy relative to the elements, uncorrected: -125 meV per atom
Volume: 188.5 Å³/cell


> Number 1 is which compound?

Pr8Ir3PbI4


> What is the formula in the second record?

RbIrPb2I


> Among the records above, which one has the highest volume?

Pr8Ir3PbI4


> Which formula does entry 2 have?

RbIrPb2I